a) Compound: AgMoRu
Source: Alexandria
Functional: PBE-GGA
Structure: relaxed

a b c (Å): 4.2821 4.2821 4.2821
angles (deg): 60.00 60.00 60.00
Fractional positions:
Mo 0.5000 0.5000 0.5000
Ru 0.2500 0.2500 0.2500
Ag 0.0000 0.0000 0.0000

Output
V: 55.5 Å³/cell
Total magnetization: 0.0 μB/f.u.

***

b) Compound: AgMoRu
Source: Alexandria
Functional: PBE-GGA
Structure: relaxed

a b c (Å): 7.4967 7.2988 2.7155
angles (deg): 83.56 75.34 21.10
Fractional positions:
Mo 0.3238 0.3238 0.6762
Ag 0.0009 0.0009 0.9991
Ru 0.6753 0.6753 0.3247

Output
V: 48.4 Å³/cell
Total magnetization: 0.2 μB/f.u.

***

c) Compound: AgMoRu
Source: Alexandria
Functional: PBE-GGA
Structure: relaxed

a b c (Å): 4.8950 4.8950 4.8950
angles (deg): 146.57 133.04 58.87
Fractional positions:
Ru 0.6752 0.6752 0.0000
Mo 0.3239 0.3239 0.0000
Ag 0.0009 0.0009 0.0000

Output
V: 46.8 Å³/cell
Total magnetization: 0.0 μB/f.u.

***

Pick c): it beats the second-best structure by 3.7 kJ/mol of atoms.

***

a) Compound: AgMo2S2
Source: Alexandria
Functional: PBE-GGA
Structure: relaxed

a b c (Å): 7.1377 7.1377 3.0187
angles (deg): 90.00 90.00 90.00
Fractional positions:
Ag 0.5000 0.5000 0.0000
Ag 0.0000 0.0000 0.0000
Mo 0.3559 0.8559 0.0000
Mo 0.1441 0.3559 0.0000
Mo 0.6441 0.1441 0.0000
Mo 0.8559 0.6441 0.0000
S 0.8545 0.3545 0.5000
S 0.3545 0.1455 0.5000
S 0.6455 0.8545 0.5000
S 0.1455 0.6455 0.5000

Output
V: 153.8 Å³/cell
Total magnetization: 0.0 μB/f.u.

***

b) Compound: AgMo2S2
Source: Alexandria
Functional: PBE-GGA
Structure: relaxed

a b c (Å): 4.6364 4.6364 5.2676
angles (deg): 63.89 63.89 90.00
Fractional positions:
Mo 0.6363 0.6363 0.7274
Mo 0.3637 0.3637 0.2726
S 0.7500 0.2500 0.5000
S 0.2500 0.7500 0.5000
Ag 0.0000 0.0000 0.0000

Output
V: 88.6 Å³/cell
Total magnetization: 0.0 μB/f.u.

***

Pick b): it beats the second-best structure by 5.0 kJ/mol of atoms.

***

a) Compound: ZrAg2MoS
Source: Alexandria
Functional: PBE-GGA
Structure: relaxed

a b c (Å): 4.6706 4.8743 4.6706
angles (deg): 90.00 90.00 90.00
Fractional positions:
Ag 0.0000 0.0000 0.5000
Ag 0.5000 0.0000 0.0000
Zr 0.0000 0.5000 0.0000
Mo 0.5000 0.5000 0.5000
S 0.0000 0.0000 0.0000

Output
V: 106.3 Å³/cell
Total magnetization: 2.6 μB/f.u.

***

b) Compound: ZrAg2MoS
Source: Alexandria
Functional: PBE-GGA
Structure: relaxed

a b c (Å): 5.2508 4.7784 5.2508
angles (deg): 90.00 90.00 90.00
Fractional positions:
Ag 0.5000 0.0000 0.0000
Ag 0.0000 0.0000 0.5000
Mo 0.0000 0.5000 0.0000
Zr 0.0000 0.0000 0.0000
S 0.5000 0.5000 0.5000

Output
V: 131.7 Å³/cell
Total magnetization: 0.7 μB/f.u.

***

Pick a): it beats the second-best structure by 93.4 kJ/mol of atoms.

***

a) Compound: Ag2Sb2Mo
Source: Alexandria
Functional: PBE-GGA
Structure: relaxed

a b c (Å): 4.2992 4.2992 7.2832
angles (deg): 72.83 72.83 90.00
Fractional positions:
Sb 0.2500 0.7500 0.5000
Sb 0.7500 0.2500 0.5000
Ag 0.4016 0.4016 0.1967
Ag 0.5984 0.5984 0.8033
Mo 0.0000 0.0000 0.0000

Output
V: 122.3 Å³/cell
Total magnetization: 4.2 μB/f.u.

***

b) Compound: Ag2Sb2Mo
Source: Alexandria
Functional: PBE-GGA
Structure: relaxed

a b c (Å): 7.5491 7.5491 3.7403
angles (deg): 90.00 90.00 90.00
Fractional positions:
Sb 0.1801 0.6801 0.5000
Sb 0.8199 0.3199 0.5000
Sb 0.6801 0.8199 0.5000
Sb 0.3199 0.1801 0.5000
Ag 0.8731 0.6269 0.0000
Ag 0.1269 0.3731 0.0000
Ag 0.3731 0.8731 0.0000
Ag 0.6269 0.1269 0.0000
Mo 0.5000 0.5000 0.0000
Mo 0.0000 0.0000 0.0000

Output
V: 213.2 Å³/cell
Total magnetization: 2.1 μB/f.u.

***

Pick b): it beats the second-best structure by 27.4 kJ/mol of atoms.